# 1
VASP calculation (PBE) on an optimized crystal structure of CoSnI2.

distance to the lowest polymorph of the same formula	0.000	eV/atom
E_form (uncorrected)	151	meV per atom

a = 9.7332 Å, b = 9.7332 Å, c = 9.7332 Å
α = 23.04°, β = 23.04°, γ = 23.04°
With the nearest neighbours (Å) after each atom.
Atoms (fractional coordinates):
1 Co 0.0000 0.0000 0.0000  6 I 2.72
2 Sn 0.5000 0.5000 0.5000  2 I 3.19
3 I 0.3877 0.3877 0.3877  3 Co 2.72
4 I 0.6123 0.6123 0.6123  3 Co 2.72

=====

# 2
VASP calculation (PBE) on an optimized crystal structure of LaAgP.

formation energy from the elements	-0.62	eV per atom

a = 4.7239 Å, b = 4.7239 Å, c = 4.7239 Å
α = 60.00°, β = 60.00°, γ = 60.00°
With the nearest neighbours (Å) after each atom.
Atoms (fractional coordinates):
1 La 0.0000 0.0000 0.0000  4 P 2.89
2 Ag 0.5000 0.5000 0.5000  4 P 2.89
3 P 0.2500 0.2500 0.2500  4 Ag 2.89, 4 La 2.89

=====

# 3
VASP calculation (PBE) on an optimized crystal structure of Cs3MoBr6.

distance to the lowest polymorph of the same formula	0.022	eV/atom
E_form (uncorrected)	-1276	meV per atom

a = 8.4872 Å, b = 8.4872 Å, c = 8.4872 Å
α = 60.00°, β = 60.00°, γ = 60.00°
With the nearest neighbours (Å) after each atom.
Atoms (fractional coordinates):
1 Cs 0.0000 0.0000 0.0000  6 Br 3.39
2 Cs 0.2500 0.2500 0.2500  12 Br 4.26
3 Cs 0.7500 0.7500 0.7500  12 Br 4.26
4 Mo 0.5000 0.5000 0.5000  6 Br 2.61
5 Br 0.2824 0.2824 0.7176  1 Mo 2.61
6 Br 0.2824 0.7176 0.2824  1 Mo 2.61
7 Br 0.2824 0.7176 0.7176  1 Mo 2.61
8 Br 0.7176 0.2824 0.2824  1 Mo 2.61
9 Br 0.7176 0.2824 0.7176  1 Mo 2.61
10 Br 0.7176 0.7176 0.2824  1 Mo 2.61

=====

# 4
VASP calculation (PBE) on an optimized crystal structure of MgIn5Ga.

formation energy from the elements	0.01	eV per atom

a = 4.6787 Å, b = 4.6787 Å, c = 8.3112 Å
α = 90.00°, β = 90.00°, γ = 90.00°
With the nearest neighbours (Å) after each atom.
Atoms (fractional coordinates):
1 Mg 0.0000 0.0000 0.0000  12 In 3.30-3.31
2 In 0.0000 0.5000 0.2808  2 Ga 2.97, 6 In 3.30-3.31, 2 Mg 3.30
3 In 0.0000 0.5000 0.7192  2 Ga 2.97, 6 In 3.30-3.31, 2 Mg 3.30
4 In 0.5000 0.0000 0.2808  2 Ga 2.97, 6 In 3.30-3.31, 2 Mg 3.30
5 In 0.5000 0.0000 0.7192  2 Ga 2.97, 6 In 3.30-3.31, 2 Mg 3.30
6 In 0.5000 0.5000 0.0000  8 In 3.30, 4 Mg 3.31
7 Ga 0.0000 0.0000 0.5000  8 In 2.97

=====

# 5
VASP calculation (PBE) on an optimized crystal structure of BeBiAs2Se.

distance to the lowest polymorph of the same formula	1.108	eV/atom
E_form (uncorrected)	1418	meV per atom

a = 5.4846 Å, b = 5.4846 Å, c = 5.4841 Å
α = 90.00°, β = 90.00°, γ = 90.00°
With the nearest neighbours (Å) after each atom.
Atoms (fractional coordinates):
1 Be 0.0000 0.0000 0.0000  8 As 3.88, 4 Se 3.88
2 Bi 0.5000 0.5000 0.5000  2 Se 2.74, 4 As 2.74
3 As 0.0000 0.5000 0.5000  2 Bi 2.74
4 As 0.5000 0.0000 0.5000  2 Bi 2.74
5 Se 0.5000 0.5000 0.0000  2 Bi 2.74

=====

# 6
VASP calculation (PBE) on an optimized crystal structure of GeTePt.

E_form (uncorrected)	-254	meV per atom

a = 4.0401 Å, b = 4.0401 Å, c = 5.0676 Å
α = 90.00°, β = 90.00°, γ = 120.00°
With the nearest neighbours (Å) after each atom.
Atoms (fractional coordinates):
1 Ge 0.0000 0.0000 0.0000  3 Pt 2.51
2 Te 0.6667 0.3333 0.5322  3 Pt 2.74
3 Pt 0.3333 0.6667 0.8177  3 Ge 2.51, 3 Te 2.74

=====

no.,volume (Å³/f.u.),DOS at the Fermi energy (states/eV/atom),electronic total energy (eV per atom)
1,123.9,1.75,-3.4017
2,74.5,0.96,-5.0200
3,432.3,0.00,-3.6185
4,181.9,0.19,-2.6035
5,165.0,1.20,-2.6605
6,71.6,0.39,-4.8544